[1]
DFT (PBE-GGA) results for an optimized crystal structure of InP2Au.

Cell lengths 3.7324, 5.4454, 3.8220 Å; angles 90.00, 90.00, 90.00 degrees
Closest atoms and distances in Å follow each position.
Fractional positions:
Au (0.5000, 0.0000, 0.5000)  4 P 2.67
P (0.5000, 0.5000, 0.0000)  4 In 2.67
P (0.0000, 0.0000, 0.0000)  4 Au 2.67
In (0.0000, 0.5000, 0.5000)  4 P 2.67

Calculated values
V, Å³/cell: 77.7
M_tot, μB per atom: 0.000
Crystal system: orthorhombic
ΔH_f (0 K), meV/atom: 449
Electronic total energy, eV/f.u.: -15.0
Space group: Pmmm (47)



[2]
DFT (PBE-GGA) results for an optimized crystal structure of NdThHg.

Cell lengths 3.7397, 3.7397, 7.0575 Å; angles 105.36, 105.36, 90.00 degrees
Closest atoms and distances in Å follow each position.
Fractional positions:
Th (0.3224, 0.3224, 0.6448)  4 Hg 3.36, 4 Nd 3.64, 4 Th 3.74
Nd (0.0133, 0.0133, 0.0266)  4 Hg 3.30, 4 Th 3.64
Hg (0.6643, 0.6643, 0.3285)  4 Nd 3.30, 4 Th 3.36

Calculated values
V, Å³/cell: 91.5
M_tot, μB per atom: 0.000
Crystal system: tetragonal
ΔH_f (0 K), meV/atom: -187
Electronic total energy, eV/f.u.: -13.1
Space group: I4mm (107)



[3]
DFT (PBE-GGA) results for an optimized crystal structure of Tb4Pr4Ho.

Cell lengths 6.2617, 6.2578, 12.0349 Å; angles 85.31, 64.35, 48.51 degrees
Closest atoms and distances in Å follow each position.
Fractional positions:
Pr (0.0559, 0.7777, 0.1109)  3 Ho 3.61-3.62, 5 Tb 3.62-3.65, 4 Pr 3.63-3.64
Pr (0.8338, 0.6682, 0.6673)  8 Tb 3.61-3.64, 1 Ho 3.62, 3 Pr 3.64-3.65
Pr (0.9441, 0.2223, 0.8891)  3 Ho 3.61-3.62, 5 Tb 3.62-3.65, 4 Pr 3.63-3.64
Pr (0.1662, 0.3318, 0.3327)  8 Tb 3.61-3.64, 1 Ho 3.62, 3 Pr 3.64-3.65
Ho (0.5000, 0.0000, 0.0000)  8 Pr 3.61-3.62, 4 Tb 3.65
Tb (0.6079, 0.5562, 0.2240)  3 Tb 3.60-3.63, 7 Pr 3.61-3.64, 2 Ho 3.65
Tb (0.3921, 0.4438, 0.7760)  3 Tb 3.60-3.63, 7 Pr 3.61-3.64, 2 Ho 3.65
Tb (0.7199, 0.1124, 0.4461)  6 Tb 3.60-3.63, 6 Pr 3.61-3.65
Tb (0.2801, 0.8876, 0.5539)  6 Tb 3.60-3.63, 6 Pr 3.61-3.65

Calculated values
V, Å³/cell: 303.4
M_tot, μB per atom: 0.000
Crystal system: monoclinic
ΔH_f (0 K), meV/atom: 18
Electronic total energy, eV/f.u.: -42.1
Space group: C2/m (12)